P.
This record from the Alexandria database describes a geometry-optimized NdAl3Ag structure. The functional is PBE.

Summary:
Magnetization in μB/cell: 0.0
Space-group type: Cmcm

Cell: 6.0470 6.3277 6.1634 Å, 119.15 90.00 90.00°
Atoms (fractional coordinates):
Nd 0.2500 0.4966 0.7483
Nd 0.7500 0.5034 0.2517
Al 0.5000 0.0000 0.2311
Al 0.5000 0.0000 0.7689
Al 0.0000 0.0000 0.2311
Al 0.0000 0.0000 0.7689
Al 0.2500 0.3039 0.1520
Al 0.7500 0.6961 0.8480
Ag 0.2500 0.7585 0.3793
Ag 0.7500 0.2415 0.6207



Q.
This record from the Alexandria database describes a geometry-optimized NdAl3Ag structure. The functional is PBE.

Summary:
Magnetization in μB/cell: 0.0
Space-group type: P6_3/mmc

Cell: 5.8771 6.4284 6.4280 Å, 120.00 90.00 90.00°
Atoms (fractional coordinates):
Nd 0.7499 0.6667 0.3334
Nd 0.2501 0.3333 0.6666
Al 0.7501 0.6058 0.8029
Al 0.2499 0.8028 0.6057
Al 0.2499 0.3942 0.1971
Al 0.7501 0.1972 0.3943
Al 0.2499 0.8028 0.1971
Al 0.7501 0.1972 0.8029
Ag 0.0000 0.0000 0.0000
Ag 0.5000 0.0000 0.0000



Energy relative to the most stable one, in kJ/mol of atoms: P 0.0; Q 16.8